a | The following is a GGA-PBE calculation of PuMoRu after structural relaxation, from the Alexandria database.

abc: 14.182 2.957 4.817
angles: 90.00 90.00 90.00
Space group Amm2 (No. 38)
Symmetry-distinct sites (fractional):
1 Pu 0.173 0.000 0.000 (multiplicity 4)
2 Mo 0.349 0.000 0.495 (multiplicity 4)
3 Ru 0.000 0.000 0.793 (multiplicity 2)
4 Ru 0.500 0.000 0.864 (multiplicity 2)

- V (Å³/cell) = 202
- crystal system = orthorhombic
- magnetic moment (Bohr magnetons per cell) = 13.48



b | The following is a GGA-PBE calculation of PuMoRu after structural relaxation, from the Alexandria database.

abc: 3.047 3.047 11.806
angles: 90.00 90.00 90.00
Space group I4mm (No. 107)
Symmetry-distinct sites (fractional):
1 Pu 0.000 0.000 0.000 (multiplicity 2)
2 Mo 0.000 0.000 0.688 (multiplicity 2)
3 Ru 0.000 0.000 0.310 (multiplicity 2)

- V (Å³/cell) = 110
- crystal system = tetragonal
- magnetic moment (Bohr magnetons per cell) = 9.13



Of all the structures shown, which is most stable? b, and a is the least stable.